Entry 1:
An optimized crystal structure of K3RbAu. Source: Alexandria via LeMat-Bulk, functional PBE.

Values from the calculation:
Energy of formation ... -0.11 eV per atom

a b c (Å): 29.253 12.018 12.018
angles (deg): 159.23 155.80 24.20
Sites, in units of the cell vectors:
K 0.666 0.327 0.673
K 0.334 0.673 0.327
K 0.048 0.357 0.643
K 0.952 0.643 0.357
K 0.588 0.577 0.423
K 0.412 0.423 0.577
Au 0.450 0.141 0.859
Au 0.550 0.859 0.141
Rb 0.781 0.026 0.974
Rb 0.219 0.974 0.026

=====

Entry 2:
An optimized crystal structure of Pr5Pa3Sb8. Source: Alexandria via LeMat-Bulk, functional PBE.

Values from the calculation:
Uncorrected formation energy ... -0.91 eV/atom

a b c (Å): 8.951 8.951 8.985
angles (deg): 60.12 60.12 60.00
Sites, in units of the cell vectors:
Pr 0.500 0.000 0.000
Pr 0.500 0.500 0.000
Pr 0.000 0.000 0.000
Pr 0.000 0.500 0.000
Pr 0.500 0.500 0.500
Pa 0.500 0.000 0.500
Pa 0.000 0.000 0.500
Pa 0.000 0.500 0.500
Sb 0.250 0.250 0.741
Sb 0.250 0.759 0.741
Sb 0.759 0.250 0.741
Sb 0.754 0.754 0.738
Sb 0.750 0.750 0.259
Sb 0.750 0.241 0.259
Sb 0.241 0.750 0.259
Sb 0.246 0.246 0.262

=====

Entry 3:
An optimized crystal structure of LaTaN2. Source: Alexandria via LeMat-Bulk, functional PBE.

Values from the calculation:
Uncorrected formation energy ... -0.14 eV/atom

a b c (Å): 4.175 4.175 4.175
angles (deg): 60.00 60.00 60.00
Sites, in units of the cell vectors:
N 0.250 0.250 0.250
N 0.750 0.750 0.750
La 0.000 0.000 0.000
Ta 0.500 0.500 0.500

=====

Computed density of states at the Fermi level (states/eV/f.u.) in order:
3.287 19.891 1.989